Entry 1:
VASP calculation (PBE-GGA) on a geometry-optimized AcPuFeGe2 structure.

## Properties
- Magnetic moment: 7.33 Bohr magnetons per cell
- ΔH_f (0 K): -0.171 eV per atom
- DOS(E_F): 3.322 states/eV/atom
- Space-group type: No. 119

```
data_AcPuFeGe2
_chemical_formula_sum 'Ac1 Pu1 Fe1 Ge2'
_space_group_name_H-M_alt 'P 1'
_space_group_IT_number 1
_cell_length_a 4.423
_cell_length_b 4.423
_cell_length_c 6.816
_cell_angle_alpha 108.93
_cell_angle_beta 108.93
_cell_angle_gamma 90.00
loop_
_space_group_symop_operation_xyz
'x,y,z'
loop_
_atom_site_label
_atom_site_fract_x
_atom_site_fract_y
_atom_site_fract_z
Ac1 0.000 0.000 0.000
Pu1 0.750 0.250 0.500
Fe1 0.250 0.750 0.500
Ge1 0.607 0.607 0.214
Ge2 0.393 0.393 0.786
```

=====

Entry 2:
VASP calculation (PBE-GGA) on a geometry-optimized AcScFeGe2 structure.

## Properties
- Magnetic moment: 1.92 Bohr magnetons per cell
- ΔH_f (0 K): -0.528 eV per atom
- DOS(E_F): 0.952 states/eV/atom
- Space-group type: No. 119

```
data_AcScFeGe2
_chemical_formula_sum 'Ac1 Sc1 Fe1 Ge2'
_space_group_name_H-M_alt 'P 1'
_space_group_IT_number 1
_cell_length_a 4.314
_cell_length_b 4.314
_cell_length_c 6.604
_cell_angle_alpha 109.06
_cell_angle_beta 109.06
_cell_angle_gamma 90.00
loop_
_space_group_symop_operation_xyz
'x,y,z'
loop_
_atom_site_label
_atom_site_fract_x
_atom_site_fract_y
_atom_site_fract_z
Ac1 0.000 0.000 0.000
Sc1 0.250 0.750 0.500
Fe1 0.750 0.250 0.500
Ge1 0.616 0.616 0.233
Ge2 0.384 0.384 0.767
```

=====

| no. | final energy (eV/atom) |
| --- | --- |
| 1 | -7.3989 |
| 2 | -6.1553 |